(1)
The following is a DFT calculation (PBE-GGA) of a relaxed ScAgOs2 crystal.

a = 9.345 Å, b = 2.902 Å, c = 4.921 Å
α = 90.00°, β = 101.17°, γ = 90.00°
Space group Cm (No. 8)
Asymmetric unit:
1 Sc 0.000 0.000 0.000 x2
2 Ag 0.260 0.500 0.227 x2
3 Os 0.012 0.500 0.536 x2
4 Os 0.249 0.000 0.699 x2

Summary:
Formation energy from the elements ... 0.77 eV per formula unit
Distance to the lowest polymorph of the same formula ... 0.47 eV per formula unit
DOS(E_F) ... 6.1 states/eV/cell

---

(2)
The following is a DFT calculation (PBE-GGA) of a relaxed LiPr2Ni9 crystal.

a = 4.9916 Å, b = 4.9916 Å, c = 24.4359 Å
α = 90.00°, β = 90.00°, γ = 120.00°
Space group R-3m (No. 166, hexagonal axes)
Asymmetric unit:
1 Li 0.0000 0.0000 0.0000 x3
2 Pr 0.0000 0.0000 0.1337 x6
3 Ni 0.0000 0.0000 0.3326 x6
4 Ni 0.0000 0.0000 0.5000 x3
5 Ni 0.0006 0.5003 0.0792 x18

Summary:
Formation energy from the elements ... -1.62 eV per formula unit
DOS(E_F) ... 35.4 states/eV/cell

---

(3)
The following is a DFT calculation (PBE-GGA) of a relaxed DyTaCoOs crystal.

a = 6.493 Å, b = 6.493 Å, c = 6.493 Å
α = 90.00°, β = 90.00°, γ = 90.00°
Space group F-43m (No. 216)
Asymmetric unit:
1 Dy 0.000 0.000 0.000 x4
2 Ta 0.000 0.000 0.500 x4
3 Co 0.250 0.250 0.750 x4
4 Os 0.250 0.250 0.250 x4

Summary:
Formation energy from the elements ... -0.47 eV per formula unit
DOS(E_F) ... 7.6 states/eV/cell

---

(4)
The following is a DFT calculation (PBE-GGA) of a relaxed La2YEr9 crystal.

a = 5.027 Å, b = 5.027 Å, c = 15.103 Å
α = 90.00°, β = 90.00°, γ = 90.00°
Space group P4/mmm (No. 123)
Asymmetric unit:
1 La 0.000 0.000 0.166 x2
2 Y 0.000 0.000 0.500 x1
3 Er 0.000 0.500 0.000 x2
4 Er 0.000 0.500 0.337 x4
5 Er 0.500 0.500 0.169 x2
6 Er 0.500 0.500 0.500 x1

Summary:
Formation energy from the elements ... 0.42 eV per formula unit
DOS(E_F) ... 18.1 states/eV/cell

---

(5)
The following is a DFT calculation (PBE-GGA) of a relaxed SrTlRe4 crystal.

a = 7.693 Å, b = 7.693 Å, c = 7.693 Å
α = 90.00°, β = 90.00°, γ = 90.00°
Space group F-43m (No. 216)
Asymmetric unit:
1 Sr 0.000 0.000 0.000 x4
2 Tl 0.250 0.250 0.750 x4
3 Re 0.125 0.125 0.375 x16

Summary:
Formation energy from the elements ... 4.07 eV per formula unit
DOS(E_F) ... 17.0 states/eV/cell

---

(6)
The following is a DFT calculation (PBE-GGA) of a relaxed CaSbPb2 crystal.

a = 4.921 Å, b = 4.921 Å, c = 9.820 Å
α = 90.00°, β = 90.00°, γ = 90.00°
Space group I-4m2 (No. 119)
Asymmetric unit:
1 Ca 0.000 0.000 0.000 x2
2 Sb 0.000 0.500 0.250 x2
3 Pb 0.000 0.000 0.500 x2
4 Pb 0.000 0.500 0.750 x2

Summary:
Energy relative to the elements, uncorrected ... -0.338 eV per atom
DOS(E_F) ... 4.2 states/eV/cell

---

(7)
The following is a DFT calculation (PBE-GGA) of a relaxed Na3TeCl7 crystal.

a = 12.407 Å, b = 8.929 Å, c = 7.018 Å
α = 90.00°, β = 110.85°, γ = 90.00°
Space group Cm (No. 8)
Asymmetric unit:
1 Na 0.000 0.000 0.000 x2
2 Na 0.374 0.231 0.455 x4
3 Te 0.369 0.000 0.947 x2
4 Cl 0.245 0.000 0.190 x2
5 Cl 0.246 0.196 0.726 x4
6 Cl 0.431 0.500 0.599 x2
7 Cl 0.495 0.218 0.184 x4
8 Cl 0.497 0.000 0.735 x2

Summary:
Energy relative to the elements, uncorrected ... -1.225 eV per atom
DOS(E_F) ... 0.0 states/eV/cell

---

(8)
The following is a DFT calculation (PBE-GGA) of a relaxed KCu2H crystal.

a = 5.819 Å, b = 5.819 Å, c = 7.878 Å
α = 90.00°, β = 90.00°, γ = 90.00°
Space group I4_1/amd (No. 141, origin choice 2)
Asymmetric unit:
1 K 0.000 0.250 0.375 x4
2 Cu 0.000 0.000 0.000 x8
3 H 0.000 0.250 0.875 x4

Summary:
Distance to the lowest polymorph of the same formula ... 0.00 eV per formula unit
DOS(E_F) ... 4.8 states/eV/cell

---

(9)
The following is a DFT calculation (PBE-GGA) of a relaxed SrAl2Cu crystal.

a = 4.055 Å, b = 4.055 Å, c = 10.796 Å
α = 90.00°, β = 90.00°, γ = 90.00°
Space group P4/nmm (No. 129, origin choice 2)
Asymmetric unit:
1 Sr 0.250 0.250 0.240 x2
2 Al 0.250 0.250 0.939 x2
3 Al 0.250 0.750 0.500 x2
4 Cu 0.250 0.250 0.644 x2

Summary:
Formation energy from the elements ... -0.46 eV per formula unit
DOS(E_F) ... 4.9 states/eV/cell

---

(10)
The following is a DFT calculation (PBE-GGA) of a relaxed HfPaMnRh crystal.

a = 6.637 Å, b = 6.637 Å, c = 6.637 Å
α = 90.00°, β = 90.00°, γ = 90.00°
Space group F-43m (No. 216)
Asymmetric unit:
1 Hf 0.000 0.000 0.000 x4
2 Pa 0.000 0.000 0.500 x4
3 Mn 0.250 0.250 0.750 x4
4 Rh 0.250 0.250 0.250 x4

Summary:
Formation energy from the elements ... -1.11 eV per formula unit
DOS(E_F) ... 18.0 states/eV/cell

---

(11)
The following is a DFT calculation (PBE-GGA) of a relaxed CuHgCl4 crystal.

a = 8.465 Å, b = 6.147 Å, c = 6.259 Å
α = 90.00°, β = 90.00°, γ = 90.00°
Space group Pmn2_1 (No. 31)
Asymmetric unit:
1 Cu 0.000 0.132 0.000 x2
2 Hg 0.000 0.663 0.495 x2
3 Cl 0.000 0.270 0.668 x2
4 Cl 0.000 0.779 0.105 x2
5 Cl 0.231 0.235 0.154 x4

Summary:
Distance to the lowest polymorph of the same formula ... 0.20 eV per formula unit
Energy relative to the elements, uncorrected ... -0.434 eV per atom
DOS(E_F) ... 2.5 states/eV/cell

---

(12)
The following is a DFT calculation (PBE-GGA) of a relaxed GdTlCuPd crystal.

a = 6.857 Å, b = 6.857 Å, c = 6.857 Å
α = 90.00°, β = 90.00°, γ = 90.00°
Space group F-43m (No. 216)
Asymmetric unit:
1 Gd 0.000 0.000 0.000 x4
2 Tl 0.000 0.000 0.500 x4
3 Cu 0.250 0.250 0.250 x4
4 Pd 0.250 0.250 0.750 x4

Summary:
Formation energy from the elements ... -1.48 eV per formula unit
DOS(E_F) ... 12.7 states/eV/cell

---

Which value of DOS(E_F) does entry 12 give?
12.7 states/eV/cell